Here is a geometry-optimized Cu3PW structure from Alexandria via LeMat-Bulk. Energies are from GGA-PBE.

Lattice parameters (Å, degrees): 4.678 4.678 4.678 90.00 90.00 90.00
Fractional positions:
1 Cu 0.000 0.000 0.500
2 Cu 0.000 0.500 0.000
3 Cu 0.500 0.000 0.000
4 P 0.500 0.500 0.500
5 W 0.000 0.000 0.000

Properties
**SG**: Pm-3m
**ΔH_f (0 K)**: 1.894 eV per atom

---

Here is a geometry-optimized TiHg4 structure from Alexandria via LeMat-Bulk. Energies are from GGA-PBE.

Lattice parameters (Å, degrees): 5.535 5.535 5.535 90.00 90.00 90.00
Fractional positions:
1 Ti 0.000 0.000 0.000
2 Hg 0.000 0.000 0.500
3 Hg 0.000 0.500 0.000
4 Hg 0.500 0.000 0.000
5 Hg 0.500 0.500 0.500

Properties
**SG**: Pm-3m
**ΔH_f (0 K)**: 0.423 eV per atom

---

Here is a geometry-optimized RePb3 structure from Alexandria via LeMat-Bulk. Energies are from GGA-PBE.

Lattice parameters (Å, degrees): 3.317 4.639 13.881 90.00 90.00 90.00
Fractional positions:
1 Re 0.000 0.000 0.000
2 Re 0.500 0.500 0.500
3 Pb 0.000 0.000 0.500
4 Pb 0.000 0.500 0.321
5 Pb 0.000 0.500 0.679
6 Pb 0.500 0.000 0.179
7 Pb 0.500 0.000 0.821
8 Pb 0.500 0.500 0.000

Properties
**SG**: Immm
**ΔH_f (0 K)**: 0.687 eV per atom

---

Here is a geometry-optimized MnCdHgTeBr structure from Alexandria via LeMat-Bulk. Energies are from GGA-PBE.

Lattice parameters (Å, degrees): 7.633 4.376 9.414 90.00 106.11 90.00
Fractional positions:
1 Mn 0.000 0.000 0.000
2 Mn 0.500 0.500 0.000
3 Cd 0.110 0.000 0.316
4 Cd 0.610 0.500 0.316
5 Hg 0.270 0.000 0.799
6 Hg 0.770 0.500 0.799
7 Te 0.200 0.500 0.094
8 Te 0.700 0.000 0.094
9 Br 0.497 0.000 0.475
10 Br 0.997 0.500 0.475

Properties
**SG**: Cm
**ΔE_f (raw)**: -0.142 eV/atom

---

Here is a geometry-optimized CuNiAsC2 structure from Alexandria via LeMat-Bulk. Energies are from GGA-PBE.

Lattice parameters (Å, degrees): 3.870 3.870 4.551 90.00 90.00 90.00
Fractional positions:
1 Cu 0.000 0.000 0.000
2 Ni 0.500 0.500 0.000
3 As 0.000 0.000 0.500
4 C 0.000 0.500 0.500
5 C 0.500 0.000 0.500

Properties
**SG**: P4/mmm
**ΔH_f (0 K)**: 2.250 eV per atom

---

Here is a geometry-optimized NbZnS2 structure from Alexandria via LeMat-Bulk. Energies are from GGA-PBE.

Lattice parameters (Å, degrees): 3.473 3.473 22.718 90.00 90.00 120.00
Fractional positions:
1 Nb 0.000 0.000 0.000
2 Nb 0.333 0.667 0.667
3 Nb 0.667 0.333 0.333
4 Zn 0.000 0.000 0.500
5 Zn 0.333 0.667 0.167
6 Zn 0.667 0.333 0.833
7 S 0.000 0.000 0.103
8 S 0.000 0.000 0.897
9 S 0.333 0.667 0.564
10 S 0.333 0.667 0.770
11 S 0.667 0.333 0.230
12 S 0.667 0.333 0.436

Properties
**SG**: R-3m
**ΔE_f (raw)**: -0.041 eV/atom

---

Number 1: size of the total moment 0.000 μB/atom. Number 2: size of the total moment 0.608 μB/atom. Number 3: size of the total moment 0.000 μB/atom. Number 4: size of the total moment 0.844 μB/atom. Number 5: size of the total moment 0.000 μB/atom. Number 6: size of the total moment 0.198 μB/atom.